# 1
DFT (PBE-GGA) results for a relaxed Co2Te crystal.

Calculated values
* formation energy without anion corrections: 98 kJ/mol of formula units
* space-group type: I4/mmm, No. 139
* total magnetization: 1.87 μB per formula unit
* offset from the most stable computed form: 1.132 eV/f.u.

Unit cell a=4.4258 b=4.4258 c=4.4258 alpha=134.10 beta=134.10 gamma=66.93
Closest atoms and distances in Å follow each position.
Positions (direct):
Co (0.1667, 0.1667, 0.0000)  5 Te 2.46-2.73, 5 Co 2.46-2.73
Co (0.8333, 0.8333, 0.0000)  5 Te 2.46-2.73, 5 Co 2.46-2.73
Te (0.5000, 0.5000, 0.0000)  10 Co 2.46-2.73

---

# 2
DFT (PBE-GGA) results for a relaxed Co2Te crystal.

Calculated values
* formation energy without anion corrections: 120 kJ/mol of formula units
* space-group type: P-3m1, No. 164
* total magnetization: 0.26 μB per formula unit
* offset from the most stable computed form: 1.356 eV/f.u.

Unit cell a=4.0092 b=4.0092 c=3.1892 alpha=90.00 beta=90.00 gamma=120.00
Closest atoms and distances in Å follow each position.
Positions (direct):
Co (0.3333, 0.6667, 0.2367)  3 Te 2.46
Co (0.6667, 0.3333, 0.7633)  3 Te 2.46
Te (0.0000, 0.0000, 0.5000)  6 Co 2.46

---

# 3
DFT (PBE-GGA) results for a relaxed Co2Te crystal.

Calculated values
* formation energy without anion corrections: 60 kJ/mol of formula units
* space-group type: Cmcm, No. 63
* total magnetization: 2.85 μB per formula unit
* offset from the most stable computed form: 0.732 eV/f.u.

Unit cell a=8.1791 b=8.1791 c=3.6870 alpha=90.00 beta=90.00 gamma=153.89
Closest atoms and distances in Å follow each position.
Positions (direct):
Co (0.1513, 0.8487, 0.7500)  4 Co 2.42, 4 Te 2.67
Co (0.2501, 0.7499, 0.2500)  8 Co 2.42-2.61
Co (0.7499, 0.2501, 0.7500)  8 Co 2.42-2.61
Co (0.8487, 0.1513, 0.2500)  4 Co 2.42, 4 Te 2.67
Te (0.3837, 0.6163, 0.7500)  8 Co 2.67-2.82
Te (0.6163, 0.3837, 0.2500)  8 Co 2.67-2.82

---

# 4
DFT (PBE-GGA) results for a relaxed CoTe crystal.

Calculated values
* formation energy without anion corrections: 1 kJ/mol of formula units
* space-group type: P2_12_12_1, No. 19
* total magnetization: 0.00 μB per formula unit

Unit cell a=5.7777 b=6.9375 c=7.7614 alpha=90.00 beta=90.00 gamma=90.00
Closest atoms and distances in Å follow each position.
Positions (direct):
Co (0.0852, 0.1550, 0.3889)  4 Te 2.40-2.44
Co (0.2421, 0.5278, 0.3915)  4 Te 2.50-2.58, 1 Co 2.74
Co (0.2579, 0.4722, 0.8915)  4 Te 2.50-2.58, 1 Co 2.74
Co (0.4148, 0.8450, 0.8889)  4 Te 2.40-2.44
Co (0.5852, 0.3451, 0.6111)  4 Te 2.40-2.44
Co (0.7421, 0.9722, 0.6085)  4 Te 2.50-2.58, 1 Co 2.74
Co (0.7579, 0.0278, 0.1085)  4 Te 2.50-2.58, 1 Co 2.74
Co (0.9148, 0.6550, 0.1111)  4 Te 2.40-2.44
Te (0.0065, 0.3690, 0.6320)  4 Co 2.44-2.58
Te (0.0124, 0.3185, 0.1193)  4 Co 2.40-2.50
Te (0.4876, 0.6815, 0.6193)  4 Co 2.40-2.50
Te (0.4935, 0.6310, 0.1320)  4 Co 2.44-2.58
Te (0.5065, 0.1310, 0.3680)  4 Co 2.44-2.58
Te (0.5124, 0.1815, 0.8807)  4 Co 2.40-2.50
Te (0.9876, 0.8185, 0.3807)  4 Co 2.40-2.50
Te (0.9935, 0.8690, 0.8680)  4 Co 2.44-2.58

---

# 5
DFT (PBE-GGA) results for a relaxed CoTe5 crystal.

Calculated values
* formation energy without anion corrections: 68 kJ/mol of formula units
* space-group type: Cm, No. 8
* total magnetization: 0.00 μB per formula unit
* offset from the most stable computed form: 0.441 eV/f.u.

Unit cell a=8.2195 b=8.2195 c=6.9304 alpha=113.20 beta=113.20 gamma=25.04
Closest atoms and distances in Å follow each position.
Positions (direct):
Co (0.0000, 0.0000, 0.0000)  7 Te 2.52-2.74
Te (0.0427, 0.0427, 0.3925)  1 Co 2.52
Te (0.3856, 0.3856, 0.0254)  2 Co 2.61
Te (0.4429, 0.4429, 0.6714)  2 Co 2.74, 2 Te 2.95-3.03
Te (0.6255, 0.6255, 0.0448)  2 Co 2.61, 1 Te 2.92
Te (0.7253, 0.7253, 0.5029)  3 Te 2.92-3.25

---

# 6
DFT (PBE-GGA) results for a relaxed Co2Te crystal.

Calculated values
* formation energy without anion corrections: 54 kJ/mol of formula units
* space-group type: Pnma, No. 62
* total magnetization: 0.90 μB per formula unit
* offset from the most stable computed form: 0.679 eV/f.u.

Unit cell a=6.5099 b=3.7707 c=7.3439 alpha=90.00 beta=90.00 gamma=90.00
Closest atoms and distances in Å follow each position.
Positions (direct):
Co (0.0960, 0.2500, 0.0998)  4 Te 2.47-2.62, 5 Co 2.61-2.70
Co (0.1322, 0.2500, 0.7455)  3 Te 2.45-2.49, 3 Co 2.61-2.66
Co (0.3678, 0.7500, 0.2455)  3 Te 2.45-2.49, 3 Co 2.61-2.66
Co (0.4040, 0.7500, 0.5998)  4 Te 2.47-2.62, 5 Co 2.61-2.70
Co (0.5960, 0.2500, 0.4002)  4 Te 2.47-2.62, 5 Co 2.61-2.70
Co (0.6322, 0.2500, 0.7545)  3 Te 2.45-2.49, 3 Co 2.61-2.66
Co (0.8678, 0.7500, 0.2545)  3 Te 2.45-2.49, 3 Co 2.61-2.66
Co (0.9040, 0.7500, 0.9002)  4 Te 2.47-2.62, 5 Co 2.61-2.70
Te (0.2128, 0.2500, 0.4200)  7 Co 2.45-2.62
Te (0.2872, 0.7500, 0.9200)  7 Co 2.45-2.62
Te (0.7128, 0.2500, 0.0800)  7 Co 2.45-2.62
Te (0.7872, 0.7500, 0.5800)  7 Co 2.45-2.62